The following is a DFT calculation (GGA-PBE) of a relaxed structure of Dy6Ho2Mg. Values from VASP.

```
&SYSTEM
  ibrav = 0, nat = 18, ntyp = 3
/
ATOMIC_SPECIES
Dy 162.50 Dy.upf
Ho 164.93 Ho.upf
Mg 24.30 Mg.upf
CELL_PARAMETERS angstrom
10.4754 0.0000 0.0000
0.0000 10.4754 0.0000
0.0000 0.0000 5.0073
ATOMIC_POSITIONS crystal
Dy 0.9996 0.3337 0.0000
Dy 0.0004 0.6663 0.0000
Dy 0.1658 0.1658 0.5000
Dy 0.1663 0.4996 0.5000
Dy 0.3337 0.9996 0.0000
Dy 0.3342 0.6658 0.0000
Dy 0.4996 0.1663 0.5000
Dy 0.5004 0.8337 0.5000
Dy 0.6663 0.0004 0.0000
Dy 0.6658 0.3342 0.0000
Dy 0.8337 0.5004 0.5000
Dy 0.8342 0.8342 0.5000
Ho 0.1672 0.8328 0.5000
Ho 0.3328 0.3328 0.0000
Ho 0.6672 0.6672 0.0000
Ho 0.8328 0.1672 0.5000
Mg 0.0000 0.0000 0.0000
Mg 0.5000 0.5000 0.5000
```

## Properties
As for the offset from the most stable computed form: 0.000 eV/atom. The calculation puts the total energy at -4.24 eV/atom. For the volume, the calculation gives 30.526 A^3/atom. Its space group is P4_2/mnm, No. 136. The calculated formation energy comes out at 0.02 eV per atom.